# LiTbCe2Tl4

Crystalline LiTbCe2Tl4 at its relaxed geometry (PBE, Alexandria).

Lattice parameters (Å, degrees): 9.4906 9.4906 9.4906 32.61 32.61 32.61
With the nearest neighbours (Å) after each atom.
Positions (direct):
1 Li 0.0000 0.0000 0.0000  8 Tl 3.26-3.32
2 Tb 0.5000 0.5000 0.5000  8 Tl 3.29-3.41
3 Ce 0.2547 0.2547 0.2547  8 Tl 3.20-3.54
4 Ce 0.7453 0.7453 0.7453  8 Tl 3.20-3.54
5 Tl 0.1234 0.1234 0.1234  3 Tb 3.29, 4 Ce 3.30-3.54, 1 Li 3.32
6 Tl 0.3734 0.3734 0.3734  4 Ce 3.20-3.25, 3 Li 3.26, 1 Tb 3.41
7 Tl 0.6266 0.6266 0.6266  4 Ce 3.20-3.25, 3 Li 3.26, 1 Tb 3.41
8 Tl 0.8766 0.8766 0.8766  3 Tb 3.29, 4 Ce 3.30-3.54, 1 Li 3.32

Properties
- DFT total energy (eV/f.u.) = -30.03
- space-group type = R-3m, No. 166
- crystal system = trigonal
- E_form (eV/atom) = -0.270
- density of states at the Fermi level (states/eV per atom) = 1.9801